Crystalline Ac2Sm6Sc at its relaxed geometry. Source: Alexandria, functional PBE.

Computed properties:
Its formation enthalpy at 0 K is 0.12 eV per atom. The raw total energy is -83.544 eV/cell. As for the total magnetization: 0.00 μB per cell.

Lattice parameters (Å, degrees): 8.0422 8.0422 11.0579 108.02 108.02 96.91
Last column: nearest neighbours and their distance in Å.
Fractional coordinates of all 18 atoms:
1 Ac 0.0648 0.2928 0.2474  1 Sc 3.42, 7 Sm 3.50-3.71
2 Ac 0.2928 0.0648 0.7474  1 Sc 3.42, 7 Sm 3.50-3.71
3 Ac 0.7072 0.9352 0.2526  1 Sc 3.42, 7 Sm 3.50-3.71
4 Ac 0.9352 0.7072 0.7526  1 Sc 3.42, 7 Sm 3.50-3.71
5 Sm 0.0052 0.2961 0.9044  4 Sm 3.33-3.66, 1 Sc 3.52, 2 Ac 3.65-3.68
6 Sm 0.0525 0.3107 0.5757  4 Ac 3.50-3.84, 6 Sm 3.50-3.81
7 Sm 0.2961 0.0052 0.4044  4 Sm 3.33-3.66, 1 Sc 3.52, 2 Ac 3.65-3.68
8 Sm 0.3107 0.0525 0.0757  4 Ac 3.50-3.84, 6 Sm 3.50-3.81
9 Sm 0.3573 0.6172 0.9262  2 Sc 3.41-3.54, 5 Sm 3.48-3.72, 2 Ac 3.63-3.71
10 Sm 0.3828 0.6427 0.5738  2 Sc 3.41-3.54, 5 Sm 3.48-3.72, 2 Ac 3.63-3.71
11 Sm 0.6172 0.3573 0.4262  2 Sc 3.41-3.54, 5 Sm 3.48-3.72, 2 Ac 3.63-3.71
12 Sm 0.6427 0.3828 0.0738  2 Sc 3.41-3.54, 5 Sm 3.48-3.72, 2 Ac 3.63-3.71
13 Sm 0.6893 0.9475 0.9243  4 Ac 3.50-3.84, 6 Sm 3.50-3.81
14 Sm 0.7039 0.9948 0.5956  4 Sm 3.33-3.66, 1 Sc 3.52, 2 Ac 3.65-3.68
15 Sm 0.9475 0.6893 0.4243  4 Ac 3.50-3.84, 6 Sm 3.50-3.81
16 Sm 0.9948 0.7039 0.0956  4 Sm 3.33-3.66, 1 Sc 3.52, 2 Ac 3.65-3.68
17 Sc 0.4010 0.5990 0.2500  6 Sm 3.41-3.54, 2 Ac 3.42
18 Sc 0.5990 0.4010 0.7500  6 Sm 3.41-3.54, 2 Ac 3.42


Crystalline Ac2SmSc at its relaxed geometry. Source: Alexandria, functional PBE.

Computed properties:
Its formation enthalpy at 0 K is 0.07 eV per atom. The raw total energy is -18.978 eV/cell. As for the total magnetization: 0.00 μB per cell. For the energy above the most stable polymorph in this dataset, the calculation gives 0 kJ/mol of formula units.

Lattice parameters (Å, degrees): 3.8932 3.8932 9.5935 90.00 90.00 90.00
Last column: nearest neighbours and their distance in Å.
Fractional coordinates of all 4 atoms:
1 Ac 0.0000 0.0000 0.2337  4 Sc 3.55, 4 Sm 3.76, 4 Ac 3.89
2 Ac 0.0000 0.0000 0.7663  4 Sc 3.55, 4 Sm 3.76, 4 Ac 3.89
3 Sm 0.5000 0.5000 0.5000  8 Ac 3.76, 4 Sm 3.89
4 Sc 0.5000 0.5000 0.0000  8 Ac 3.55, 4 Sc 3.89


Crystalline AcTbSmSc at its relaxed geometry. Source: Alexandria, functional PBE.

Computed properties:
Its formation enthalpy at 0 K is 0.12 eV per atom. The raw total energy is -19.295 eV/cell. As for the total magnetization: 0.00 μB per cell.

Lattice parameters (Å, degrees): 5.7452 5.7452 5.7452 60.00 60.00 60.00
Last column: nearest neighbours and their distance in Å.
Fractional coordinates of all 4 atoms:
1 Ac 0.0000 0.0000 0.0000  4 Tb 3.52, 4 Sc 3.52
2 Tb 0.7500 0.7500 0.7500  4 Sm 3.52, 4 Ac 3.52
3 Sm 0.5000 0.5000 0.5000  4 Tb 3.52, 4 Sc 3.52
4 Sc 0.2500 0.2500 0.2500  4 Ac 3.52, 4 Sm 3.52


Crystalline Ac3Sm3ScTe8 at its relaxed geometry. Source: Alexandria, functional PBE.

Computed properties:
The raw total energy is -79.266 eV/cell. The value obtained for the energy relative to the elements, uncorrected is -1421 meV per atom. As for the total magnetization: 0.00 μB per cell.

Lattice parameters (Å, degrees): 9.2023 9.2023 9.2023 58.68 58.68 58.68
Last column: nearest neighbours and their distance in Å.
Fractional coordinates of all 15 atoms:
1 Ac 0.0000 0.5000 0.5000  6 Te 3.31
2 Ac 0.5000 0.0000 0.5000  6 Te 3.31
3 Ac 0.5000 0.5000 0.0000  6 Te 3.31
4 Sm 0.0000 0.0000 0.5000  6 Te 3.14-3.15
5 Sm 0.0000 0.5000 0.0000  6 Te 3.14-3.15
6 Sm 0.5000 0.0000 0.0000  6 Te 3.14-3.15
7 Sc 0.5000 0.5000 0.5000  6 Te 3.06
8 Te 0.2437 0.2437 0.2437  3 Sm 3.14, 3 Ac 3.31
9 Te 0.2505 0.7378 0.7378  1 Sc 3.06, 2 Sm 3.15, 2 Ac 3.31
10 Te 0.2622 0.2622 0.7495  1 Sc 3.06, 2 Sm 3.15, 2 Ac 3.31
11 Te 0.2622 0.7495 0.2622  1 Sc 3.06, 2 Sm 3.15, 2 Ac 3.31
12 Te 0.7378 0.2505 0.7378  1 Sc 3.06, 2 Sm 3.15, 2 Ac 3.31
13 Te 0.7378 0.7378 0.2505  1 Sc 3.06, 2 Sm 3.15, 2 Ac 3.31
14 Te 0.7495 0.2622 0.2622  1 Sc 3.06, 2 Sm 3.15, 2 Ac 3.31
15 Te 0.7563 0.7563 0.7563  3 Sm 3.14, 3 Ac 3.31


Crystalline Ac2SmScTe4 at its relaxed geometry. Source: Alexandria, functional PBE.

Computed properties:
The raw total energy is -42.576 eV/cell. The value obtained for the energy relative to the elements, uncorrected is -1343 meV per atom. As for the total magnetization: 0.00 μB per cell.

Lattice parameters (Å, degrees): 7.7292 4.4249 8.0674 90.00 108.36 90.00
Last column: nearest neighbours and their distance in Å.
Fractional coordinates of all 8 atoms:
1 Ac 0.0000 0.0000 0.0000  6 Te 3.39
2 Ac 0.5000 0.5000 0.0000  6 Te 3.30
3 Sm 0.0000 0.5000 0.5000  6 Te 3.12
4 Sc 0.5000 0.0000 0.5000  6 Te 3.02
5 Te 0.2515 0.0000 0.7231  1 Sc 3.02, 2 Sm 3.12, 2 Ac 3.30
6 Te 0.2717 0.5000 0.2837  2 Sc 3.02, 1 Sm 3.12, 1 Ac 3.30
7 Te 0.7283 0.5000 0.7163  2 Sc 3.02, 1 Sm 3.12, 1 Ac 3.30
8 Te 0.7485 0.0000 0.2769  1 Sc 3.02, 2 Sm 3.12, 2 Ac 3.30


Crystalline Ac2SmScTe5 at its relaxed geometry. Source: Alexandria, functional PBE.

Computed properties:
The raw total energy is -95.054 eV/cell. The value obtained for the energy relative to the elements, uncorrected is -1395 meV per atom. As for the total magnetization: 0.00 μB per cell.

Lattice parameters (Å, degrees): 9.6764 9.6764 14.3278 90.00 90.00 153.17
Last column: nearest neighbours and their distance in Å.
Fractional coordinates of all 18 atoms:
1 Ac 0.1055 0.8945 0.5000  8 Te 3.31-3.56
2 Ac 0.1433 0.8567 0.1220  7 Te 3.36-3.54
3 Ac 0.8567 0.1433 0.6220  7 Te 3.36-3.54
4 Ac 0.8945 0.1055 0.0000  8 Te 3.31-3.56
5 Sm 0.2061 0.7939 0.8222  6 Te 3.03-3.19
6 Sm 0.7939 0.2061 0.3222  6 Te 3.03-3.19
7 Sc 0.4691 0.5309 0.2649  5 Te 2.80-3.05
8 Sc 0.5309 0.4691 0.7649  5 Te 2.80-3.05
9 Te 0.0516 0.9484 0.8824  2 Sc 2.83, 1 Sm 3.03
10 Te 0.2802 0.7198 0.4764  2 Sm 3.16, 3 Ac 3.31-3.39
11 Te 0.3244 0.6756 0.1694  1 Sc 3.05, 2 Sm 3.19
12 Te 0.3741 0.6259 0.8115  1 Sc 3.03, 1 Sm 3.17
13 Te 0.4854 0.5146 0.5790  1 Sc 2.80
14 Te 0.5146 0.4854 0.0790  1 Sc 2.80
15 Te 0.6259 0.3741 0.3115  1 Sc 3.03, 1 Sm 3.17
16 Te 0.6756 0.3244 0.6694  1 Sc 3.05, 2 Sm 3.19
17 Te 0.7198 0.2802 0.9764  2 Sm 3.16, 3 Ac 3.31-3.39
18 Te 0.9484 0.0516 0.3824  2 Sc 2.83, 1 Sm 3.03


For reference, DOS(E_F) by record: 12.84 5.80 6.69 8.21 4.79 6.89 states/eV/f.u..